DFT (GGA-PBE) results for a relaxed structure of SrLiI2.

* distance to the lowest polymorph of the same formula: 0 kJ/mol of formula units
* energy relative to the elements, uncorrected: -1138 meV per atom
* symmetry: No. 160

a b c (Å): 4.321 4.321 8.677
angles (deg): 75.58 75.58 60.00
Last column: magnetic moment on the atom in μB.
Positions (direct):
1 I 0.068 0.068 0.795  0.02
2 I 0.265 0.265 0.206  0.02
3 Sr 0.500 0.500 0.500  0.17
4 Li 0.667 0.667 0.999  0.01